Record 1
Entry from Alexandria: RbNa3Al after structural relaxation (GGA-PBE).

## Properties
- ΔE_f (meV per atom) = 812.1
- total magnetic moment (μB per cell) = 0.00
- volume (Å³ per cell) = 262.1

```
RbNa3Al
1.0
6.400 0.000 0.000
0.000 6.400 0.000
0.000 0.000 6.400
Na Rb Al
3 1 1
direct
0.000 0.000 0.500 Na
0.000 0.500 0.000 Na
0.500 0.000 0.000 Na
0.000 0.000 0.000 Rb
0.500 0.500 0.500 Al
```

=====

Record 2
Entry from Alexandria: YCo2Sb after structural relaxation (GGA-PBE).

## Properties
- raw total energy (eV/atom) = -6.2448
- total magnetic moment (μB per cell) = 1.79
- volume (Å³ per cell) = 70.3

```
YCo2Sb
1.0
-0.213 -0.486 3.306
-2.463 -2.216 -0.484
4.228 -4.610 -0.405
Sb Co Y
1 2 1
direct
0.500 0.500 0.250 Sb
0.000 0.000 0.469 Co
0.000 0.000 0.031 Co
0.500 0.500 0.750 Y
```

=====

Q: Number 2 is which compound?
A: YCo2Sb

=====

Q: The highest volume belongs to which entry?
A: RbNa3Al

=====

Q: Among the records above, which one has the lowest volume?
A: YCo2Sb